Er4ScTe2: relaxed, PBE-GGA.

Cell: 5.2853 5.2853 8.7777 Å, 107.52 107.52 90.00°
Fractional coordinates of all 7 atoms:
Er1 0.5000 0.0000 0.0000
Te1 0.6339 0.6339 0.2678
Te2 0.3661 0.3661 0.7322
Er2 0.1808 0.1808 0.3616
Er3 0.8192 0.8192 0.6384
Er4 0.0000 0.5000 0.0000
Sc1 0.0000 0.0000 0.0000

Values from the calculation:
As for the crystal system: tetragonal. For the formation energy without anion corrections, the calculation gives 9.0 kJ per mole of atoms. The value obtained for the size of the total moment is 0.00 μB/f.u.